This record from the Alexandria database describes a relaxed structure of MnGeBiO5. The functional is GGA+U.

Output
Raw total energy   -6.618 eV per atom
Space group   C2/c, No. 15

Cell: 5.8620 5.8620 7.0665 Å, 103.17 103.17 110.30°
Closest atoms and distances in Å follow each position.
Fractional coordinates of all 16 atoms:
Mn  0.0000  0.0000  0.0000  4 O 1.92-1.98
Mn  0.0000  0.0000  0.5000  4 O 1.92-1.98
Ge  0.3388  0.6612  0.7500  4 O 1.77-1.79
Ge  0.6612  0.3388  0.2500  4 O 1.77-1.79
Bi  0.3077  0.6923  0.2500  5 O 2.20-2.46
Bi  0.6923  0.3077  0.7500  5 O 2.20-2.46
O  0.0792  0.9208  0.2500  2 Mn 1.92
O  0.1225  0.6648  0.8922  1 Ge 1.79
O  0.2556  0.3576  0.5677  1 Ge 1.77, 1 Mn 1.98
O  0.3352  0.8775  0.6078  1 Ge 1.79
O  0.3576  0.2556  0.0677  1 Ge 1.77, 1 Mn 1.98
O  0.6424  0.7444  0.9323  1 Ge 1.77, 1 Mn 1.98
O  0.6648  0.1225  0.3922  1 Ge 1.79
O  0.7444  0.6424  0.4323  1 Ge 1.77, 1 Mn 1.98
O  0.8775  0.3352  0.1078  1 Ge 1.79
O  0.9208  0.0792  0.7500  2 Mn 1.92